Record 1
DFT (GGA-PBEsol) results for an optimized crystal structure of La2HfO5.

Final energy (eV/cell): -151.31
Size of the total moment (μB per atom): 0.000
Energy relative to the lowest polymorph listed for this composition (meV per atom): 16
Energy relative to the elements, uncorrected (meV/atom): -3526

Lattice parameters (Å, degrees): 6.436 6.436 7.830 108.39 108.39 51.28
Fractional coordinates of all 16 atoms:
La1 0.145 0.198 0.333
La2 0.198 0.145 0.833
La3 0.802 0.855 0.167
La4 0.855 0.802 0.667
Hf1 0.500 0.500 0.000
Hf2 0.500 0.500 0.500
O1 0.110 0.596 0.398
O2 0.115 0.608 0.963
O3 0.367 0.633 0.750
O4 0.392 0.885 0.537
O5 0.404 0.890 0.102
O6 0.596 0.110 0.898
O7 0.608 0.115 0.463
O8 0.633 0.367 0.250
O9 0.885 0.392 0.037
O10 0.890 0.404 0.602


Record 2
DFT (GGA-PBEsol) results for an optimized crystal structure of La2HfO5.

Final energy (eV/cell): -303.13
Size of the total moment (μB per atom): 0.000
Energy relative to the lowest polymorph listed for this composition (meV per atom): 0
Energy relative to the elements, uncorrected (meV/atom): -3543

Lattice parameters (Å, degrees): 11.095 3.908 11.782 90.00 90.00 90.00
Fractional coordinates of all 32 atoms:
La1 0.110 0.250 0.222
La2 0.131 0.250 0.564
La3 0.369 0.750 0.064
La4 0.390 0.750 0.722
La5 0.610 0.250 0.278
La6 0.631 0.250 0.936
La7 0.869 0.750 0.436
La8 0.890 0.750 0.778
Hf1 0.179 0.250 0.883
Hf2 0.321 0.750 0.383
Hf3 0.679 0.250 0.617
Hf4 0.821 0.750 0.117
O1 0.003 0.750 0.602
O2 0.011 0.250 0.839
O3 0.231 0.250 0.047
O4 0.236 0.750 0.232
O5 0.237 0.750 0.886
O6 0.263 0.250 0.386
O7 0.264 0.250 0.732
O8 0.269 0.750 0.547
O9 0.489 0.750 0.339
O10 0.497 0.250 0.102
O11 0.503 0.750 0.898
O12 0.511 0.250 0.661
O13 0.731 0.250 0.453
O14 0.736 0.750 0.268
O15 0.737 0.750 0.614
O16 0.763 0.250 0.114
O17 0.764 0.250 0.768
O18 0.769 0.750 0.953
O19 0.989 0.750 0.161
O20 0.997 0.250 0.398


Record 3
DFT (GGA-PBEsol) results for an optimized crystal structure of La2Hf2O7.

Final energy (eV/cell): -431.72
Size of the total moment (μB per atom): 0.000
Energy relative to the elements, uncorrected (meV/atom): -3590

Lattice parameters (Å, degrees): 7.978 5.678 13.649 90.00 98.44 90.00
Fractional coordinates of all 44 atoms:
La1 0.142 0.000 0.069
La2 0.228 0.445 0.405
La3 0.282 0.935 0.621
La4 0.356 0.439 0.901
La5 0.644 0.939 0.099
La6 0.718 0.435 0.379
La7 0.772 0.945 0.595
La8 0.858 0.500 0.931
Hf1 0.030 0.446 0.614
Hf2 0.077 0.947 0.817
Hf3 0.417 0.452 0.179
Hf4 0.473 0.946 0.384
Hf5 0.527 0.446 0.616
Hf6 0.583 0.952 0.821
Hf7 0.923 0.447 0.183
Hf8 0.970 0.946 0.386
O1 0.017 0.130 0.681
O2 0.049 0.725 0.516
O3 0.086 0.218 0.914
O4 0.121 0.663 0.722
O5 0.128 0.723 0.930
O6 0.175 0.359 0.199
O7 0.224 0.020 0.395
O8 0.271 0.356 0.585
O9 0.326 0.046 0.802
O10 0.377 0.751 0.106
O11 0.407 0.241 0.059
O12 0.429 0.624 0.320
O13 0.460 0.725 0.518
O14 0.491 0.660 0.726
O15 0.509 0.160 0.274
O16 0.540 0.225 0.482
O17 0.571 0.124 0.680
O18 0.593 0.741 0.941
O19 0.623 0.251 0.894
O20 0.674 0.546 0.198
O21 0.729 0.856 0.415
O22 0.776 0.520 0.605
O23 0.825 0.859 0.801
O24 0.872 0.223 0.070
O25 0.879 0.163 0.278
O26 0.914 0.718 0.086
O27 0.951 0.225 0.484
O28 0.983 0.630 0.319


Record 4
DFT (GGA-PBEsol) results for an optimized crystal structure of La2HfO5.

Final energy (eV/cell): -150.52
Size of the total moment (μB per atom): 0.000
Energy relative to the lowest polymorph listed for this composition (meV per atom): 65
Energy relative to the elements, uncorrected (meV/atom): -3477

Lattice parameters (Å, degrees): 6.322 6.322 11.032 90.00 90.00 141.54
Fractional coordinates of all 16 atoms:
La1 0.139 0.861 0.572
La2 0.139 0.861 0.928
La3 0.861 0.139 0.072
La4 0.861 0.139 0.428
Hf1 0.170 0.830 0.250
Hf2 0.830 0.170 0.750
O1 0.050 0.950 0.120
O2 0.050 0.950 0.380
O3 0.280 0.720 0.096
O4 0.280 0.720 0.404
O5 0.283 0.717 0.750
O6 0.717 0.283 0.250
O7 0.720 0.280 0.596
O8 0.720 0.280 0.904
O9 0.950 0.050 0.620
O10 0.950 0.050 0.880


Record 5
DFT (GGA-PBEsol) results for an optimized crystal structure of LaHfOsSe2.

Final energy (eV/cell): -26.35
Size of the total moment (μB per atom): 0.542
Energy relative to the elements, uncorrected (meV/atom): 1883

Lattice parameters (Å, degrees): 5.358 5.358 5.801 90.00 90.00 90.00
Fractional coordinates of all 5 atoms:
La1 0.000 0.000 0.000
Hf1 0.000 0.000 0.500
Os1 0.500 0.500 0.500
Se1 0.000 0.500 0.000
Se2 0.500 0.000 0.000


Record 6
DFT (GGA-PBEsol) results for an optimized crystal structure of La2HfPPb.

Final energy (eV/cell): -30.15
Calculated formation energy (meV/atom): 166.7
Size of the total moment (μB per atom): 0.006

Lattice parameters (Å, degrees): 5.462 5.462 5.229 90.00 90.00 90.00
Fractional coordinates of all 5 atoms:
La1 0.000 0.500 0.000
La2 0.500 0.000 0.000
Hf1 0.000 0.000 0.500
P1 0.500 0.500 0.000
Pb1 0.500 0.500 0.500